No. 1
VASP calculation (PBE-GGA) on a relaxed structure of LaDy2Co.

Geometry as extended XYZ:
```
4
Lattice="1.833 1.058 10.338 -1.833 1.058 10.338 0.000 -2.116 10.338" Properties=species:S:1:pos:R:3 pbc="T T T"
La 0.000 0.000 0.000
Dy 0.000 0.000 3.610
Dy 0.000 0.000 27.406
Co 0.000 0.000 15.508
```

Output
raw total energy = -5.213 eV/atom
spin magnetization = 0.001 μB per formula unit
ΔE_f = 0.10 eV/atom
ΔE to the lowest computed polymorph = 245 meV/atom
space-group type = R-3m (166)


No. 2
VASP calculation (PBE-GGA) on a relaxed structure of La2DyCo2.

Geometry as extended XYZ:
```
5
Lattice="-2.124 2.682 5.673 2.124 -2.682 5.673 2.124 2.682 -5.673" Properties=species:S:1:pos:R:3 pbc="T T T"
La 0.000 0.000 1.989
La 0.000 0.000 9.356
Dy 0.000 0.000 5.673
Co 2.124 0.000 4.064
Co 0.000 2.682 1.609
```

Output
raw total energy = -5.801 eV/atom
spin magnetization = 0.000 μB per formula unit
ΔE_f = -0.07 eV/atom
space-group type = Immm (71)


No. 3
VASP calculation (PBE-GGA) on a relaxed structure of LaDyCo3.

Geometry as extended XYZ:
```
10
Lattice="2.109 -11.669 0.000 2.109 11.669 0.000 0.000 0.000 3.953" Properties=species:S:1:pos:R:3 pbc="T T T"
La 2.109 9.983 2.964
La 2.109 -9.983 0.988
Dy 2.109 6.845 0.988
Dy 2.109 -6.845 2.964
Co 2.109 3.982 0.988
Co 2.109 2.890 2.964
Co 2.109 0.575 2.964
Co 2.109 -0.575 0.988
Co 2.109 -2.890 0.988
Co 2.109 -3.982 2.964
```

Output
raw total energy = -6.300 eV/atom
spin magnetization = 1.805 μB per formula unit
ΔE_f = -0.13 eV/atom
space-group type = Cmcm (63)


No. 4
VASP calculation (PBE-GGA) on a relaxed structure of LaDyCo.

Geometry as extended XYZ:
```
3
Lattice="3.967 0.000 0.000 -1.984 3.436 0.000 0.000 0.000 6.332" Properties=species:S:1:pos:R:3 pbc="T T T"
La 0.000 0.000 0.000
Dy 0.000 2.291 2.895
Co 1.984 1.145 1.456
```

Output
raw total energy = -5.615 eV/atom
spin magnetization = 0.000 μB per formula unit
ΔE_f = -0.07 eV/atom
ΔE to the lowest computed polymorph = 75 meV/atom
space-group type = P3m1 (156)


No. 5
VASP calculation (PBE-GGA) on a relaxed structure of LaDy2Co.

Geometry as extended XYZ:
```
16
Lattice="6.971 0.000 0.000 0.000 9.557 0.000 0.000 0.000 6.450" Properties=species:S:1:pos:R:3 pbc="T T T"
La 0.409 2.389 0.871
La 3.077 7.168 4.096
La 3.894 2.389 2.354
La 6.562 7.168 5.579
Dy 1.162 0.659 4.344
Dy 1.162 4.120 4.344
Dy 2.323 5.437 1.119
Dy 2.323 8.898 1.119
Dy 4.647 0.659 5.331
Dy 4.647 4.120 5.331
Dy 5.808 5.437 2.106
Dy 5.808 8.898 2.106
Co 0.866 7.168 2.883
Co 2.619 2.389 6.109
Co 4.351 7.168 0.342
Co 6.104 2.389 3.567
```

Output
raw total energy = -5.458 eV/atom
spin magnetization = 0.000 μB per formula unit
ΔE_f = -0.15 eV/atom
ΔE to the lowest computed polymorph = 0 meV/atom
space-group type = Pnma (62)


No. 6
VASP calculation (PBE-GGA) on a relaxed structure of LaDy2Co.

Geometry as extended XYZ:
```
4
Lattice="1.915 1.106 9.105 -1.915 1.106 9.105 0.000 -2.211 9.105" Properties=species:S:1:pos:R:3 pbc="T T T"
La 0.000 0.000 0.000
Dy 0.000 0.000 15.070
Dy 0.000 0.000 21.240
Co 0.000 0.000 4.499
```

Output
raw total energy = -5.340 eV/atom
spin magnetization = 0.000 μB per formula unit
ΔE_f = -0.03 eV/atom
ΔE to the lowest computed polymorph = 117 meV/atom
space-group type = R3m (160)


No. 7
VASP calculation (PBE-GGA) on a relaxed structure of La4DyCo2.

Geometry as extended XYZ:
```
14
Lattice="7.677 0.000 0.000 0.000 6.703 0.000 -2.869 0.000 7.418" Properties=species:S:1:pos:R:3 pbc="T T T"
La -0.460 1.676 3.420
La 0.809 5.028 1.836
La -0.563 0.057 6.800
La -0.563 3.295 6.800
La 5.371 3.409 0.618
La 5.371 6.646 0.618
La 3.999 1.676 5.582
La 5.268 5.028 3.998
Dy 2.706 1.676 2.560
Dy 2.102 5.028 4.859
Co 0.371 1.676 1.118
Co 1.629 1.676 5.299
Co 3.178 5.028 2.119
Co 4.436 5.028 6.301
```

Output
raw total energy = -5.517 eV/atom
spin magnetization = 0.000 μB per formula unit
ΔE_f = -0.01 eV/atom
space-group type = P2_1/m (11)


No. 8
VASP calculation (PBE-GGA) on a relaxed structure of LaDy3Co.

Geometry as extended XYZ:
```
10
Lattice="5.855 -4.149 0.000 5.855 4.149 0.000 -5.693 0.000 5.983" Properties=species:S:1:pos:R:3 pbc="T T T"
La -1.359 0.000 1.964
La 7.376 0.000 4.019
Dy 1.770 1.697 1.235
Dy 1.770 -1.697 1.235
Dy 1.052 0.000 4.501
Dy 4.965 0.000 1.482
Dy 4.247 1.697 4.748
Dy 4.247 -1.697 4.748
Co -2.204 0.000 5.354
Co 8.221 0.000 0.629
```

Output
raw total energy = -5.275 eV/atom
spin magnetization = 0.000 μB per formula unit
ΔE_f = -0.11 eV/atom
ΔE to the lowest computed polymorph = 0 meV/atom
space-group type = C2/m (12)


No. 9
VASP calculation (PBE-GGA) on a relaxed structure of LaDyCo10.

Geometry as extended XYZ:
```
12
Lattice="3.949 0.000 0.000 0.000 4.964 0.000 0.000 0.000 8.659" Properties=species:S:1:pos:R:3 pbc="T T T"
La 0.000 0.000 0.000
Dy 0.000 2.482 4.329
Co 0.000 0.000 2.895
Co 0.000 0.000 5.764
Co 0.000 2.482 1.490
Co 0.000 2.482 7.168
Co 1.975 0.000 4.329
Co 1.975 1.280 2.245
Co 1.975 1.280 6.413
Co 1.975 2.482 0.000
Co 1.975 3.684 2.245
Co 1.975 3.684 6.413
```

Output
raw total energy = -6.782 eV/atom
spin magnetization = 13.996 μB per formula unit
ΔE_f = -0.07 eV/atom
space-group type = Pmmm (47)


No. 10
VASP calculation (PBE-GGA) on a relaxed structure of La2Dy4Co.

Geometry as extended XYZ:
```
7
Lattice="-2.605 2.605 8.567 2.605 -2.605 8.567 2.605 2.605 -8.567" Properties=species:S:1:pos:R:3 pbc="T T T"
La 0.000 0.000 2.489
La 0.000 0.000 14.646
Dy 2.605 0.000 0.000
Dy 0.000 0.000 5.934
Dy 0.000 2.605 0.000
Dy 0.000 0.000 11.200
Co 0.000 0.000 8.567
```

Output
raw total energy = -4.888 eV/atom
spin magnetization = 0.000 μB per formula unit
ΔE_f = 0.16 eV/atom
space-group type = I4/mmm (139)


No. 11
VASP calculation (PBE-GGA) on a relaxed structure of LaDy2Co.

Geometry as extended XYZ:
```
8
Lattice="3.676 0.000 0.000 0.000 9.658 0.000 -1.830 0.000 6.119" Properties=species:S:1:pos:R:3 pbc="T T T"
La 0.002 2.415 1.079
La 1.843 7.244 5.039
Dy 0.004 0.720 4.359
Dy 0.004 4.109 4.359
Dy 1.842 5.549 1.760
Dy 1.842 8.938 1.760
Co 0.004 7.244 3.037
Co 1.841 2.415 3.081
```

Output
raw total energy = -5.428 eV/atom
spin magnetization = 0.000 μB per formula unit
ΔE_f = -0.12 eV/atom
ΔE to the lowest computed polymorph = 30 meV/atom
space-group type = P2_1/m (11)


No. 12
VASP calculation (PBE-GGA) on a relaxed structure of La7DyCo3.

Geometry as extended XYZ:
```
11
Lattice="7.846 0.000 0.000 -3.923 6.795 0.000 0.000 0.000 6.461" Properties=species:S:1:pos:R:3 pbc="T T T"
La 0.000 0.000 0.000
La -1.941 3.409 0.061
La 1.965 1.135 3.380
La 1.941 3.409 0.061
La 0.000 6.771 0.061
La 5.881 1.135 3.380
La 3.923 4.526 3.380
Dy 0.000 4.530 3.444
Co 0.000 2.278 4.956
Co -1.951 5.656 4.956
Co 1.951 5.656 4.956
```

Output
raw total energy = -5.566 eV/atom
spin magnetization = 0.000 μB per formula unit
ΔE_f = -0.07 eV/atom
space-group type = P3m1 (156)


No. 13
VASP calculation (PBE-GGA) on a relaxed structure of LaDyCo.

Geometry as extended XYZ:
```
6
Lattice="5.482 0.000 0.000 0.000 4.625 0.000 -1.414 0.000 6.250" Properties=species:S:1:pos:R:3 pbc="T T T"
La -0.031 1.156 1.871
La 4.098 3.469 4.379
Dy 1.496 1.156 4.976
Dy 2.571 3.469 1.274
Co 1.096 3.469 3.557
Co 2.972 1.156 2.693
```

Output
raw total energy = -5.635 eV/atom
spin magnetization = 0.000 μB per formula unit
ΔE_f = -0.09 eV/atom
ΔE to the lowest computed polymorph = 56 meV/atom
space-group type = P2_1/m (11)


No. 14
VASP calculation (PBE-GGA) on a relaxed structure of La12DyCo7.

Geometry as extended XYZ:
```
20
Lattice="7.163 4.136 3.256 -7.163 4.136 3.256 0.000 -8.272 3.256" Properties=species:S:1:pos:R:3 pbc="T T T"
La -0.532 -2.117 1.701
La -1.568 1.519 1.701
La -2.801 -2.816 4.823
La -3.839 1.018 4.945
La 2.100 0.598 1.701
La 1.038 -3.834 4.945
La -1.038 3.834 4.823
La -2.100 -0.598 8.067
La 3.839 -1.018 4.823
La 2.801 2.816 4.945
La 1.568 -1.519 8.067
La 0.532 2.117 8.067
Dy 0.000 0.000 4.884
Co 0.000 0.000 0.000
Co -2.383 -0.530 3.255
Co 1.650 -1.799 3.255
Co 0.733 2.329 3.255
Co -0.733 -2.329 6.513
Co -1.650 1.799 6.513
Co 2.383 0.530 6.513
```

Output
raw total energy = -5.771 eV/atom
spin magnetization = 0.000 μB per formula unit
ΔE_f = -0.10 eV/atom
space-group type = R-3 (148)


No. 15
VASP calculation (PBE-GGA) on a relaxed structure of LaDy2Co2.

Geometry as extended XYZ:
```
10
Lattice="7.248 0.000 0.000 0.000 7.248 0.000 0.000 0.000 4.278" Properties=species:S:1:pos:R:3 pbc="T T T"
La 0.000 0.000 0.000
La 3.624 3.624 0.000
Dy 1.210 2.414 2.139
Dy 2.414 6.038 2.139
Dy 4.834 1.210 2.139
Dy 6.038 4.834 2.139
Co 0.797 4.421 0.000
Co 2.827 0.797 0.000
Co 4.421 6.451 0.000
Co 6.451 2.827 0.000
```

Output
raw total energy = -5.750 eV/atom
spin magnetization = 0.000 μB per formula unit
ΔE_f = -0.08 eV/atom
ΔE to the lowest computed polymorph = 0 meV/atom
space-group type = P4/mbm (127)


No. 16
VASP calculation (PBE-GGA) on a relaxed structure of LaDy3Co.

Geometry as extended XYZ:
```
5
Lattice="5.325 0.000 0.000 0.000 5.325 0.000 0.000 0.000 5.325" Properties=species:S:1:pos:R:3 pbc="T T T"
La 0.000 0.000 0.000
Dy 0.000 2.662 2.662
Dy 2.662 0.000 2.662
Dy 2.662 2.662 0.000
Co 2.662 2.662 2.662
```

Output
raw total energy = -5.200 eV/atom
spin magnetization = 0.038 μB per formula unit
ΔE_f = -0.03 eV/atom
ΔE to the lowest computed polymorph = 75 meV/atom
space-group type = Pm-3m (221)


No. 17
VASP calculation (PBE-GGA) on a relaxed structure of LaDy4Co.

Geometry as extended XYZ:
```
6
Lattice="6.002 -1.778 0.000 6.002 1.778 0.000 -3.071 0.000 7.927" Properties=species:S:1:pos:R:3 pbc="T T T"
La 0.000 0.000 0.000
Dy 3.299 0.000 1.670
Dy 2.608 0.000 4.891
Dy 6.325 0.000 3.036
Dy 5.634 0.000 6.257
Co -1.535 0.000 3.963
```

Output
raw total energy = -5.104 eV/atom
spin magnetization = 0.001 μB per formula unit
ΔE_f = -0.03 eV/atom
space-group type = C2/m (12)


No. 18
VASP calculation (PBE-GGA) on a relaxed structure of LaDy2Co.

Geometry as extended XYZ:
```
4
Lattice="3.424 0.000 0.000 0.000 3.424 0.000 0.000 0.000 9.091" Properties=species:S:1:pos:R:3 pbc="T T T"
La 0.000 0.000 0.000
Dy 1.712 1.712 2.948
Dy 1.712 1.712 6.143
Co 0.000 0.000 4.545
```

Output
raw total energy = -5.376 eV/atom
spin magnetization = 0.653 μB per formula unit
ΔE_f = -0.07 eV/atom
ΔE to the lowest computed polymorph = 81 meV/atom
space-group type = P4/mmm (123)


No. 19
VASP calculation (PBE-GGA) on a relaxed structure of La5DyCo3.

Geometry as extended XYZ:
```
18
Lattice="6.197 -4.661 0.000 6.197 4.661 0.000 -4.188 0.000 9.217" Properties=species:S:1:pos:R:3 pbc="T T T"
La -0.764 0.000 3.414
La 2.764 1.803 3.013
La 6.197 2.838 0.000
La 1.963 0.000 6.514
La 5.442 1.803 6.204
La 2.764 -1.803 3.013
La 6.243 0.000 2.703
La 6.197 -2.838 0.000
La 5.442 -1.803 6.204
La 8.970 0.000 5.803
Dy -0.722 0.000 8.886
Dy 8.928 0.000 0.331
Co -0.747 0.000 6.156
Co 1.388 0.000 1.512
Co 6.197 0.000 0.000
Co 4.103 0.000 4.608
Co 6.818 0.000 7.705
Co 8.953 0.000 3.060
```

Output
raw total energy = -5.724 eV/atom
spin magnetization = 0.000 μB per formula unit
ΔE_f = -0.11 eV/atom
space-group type = C2/m (12)


No. 20
VASP calculation (PBE-GGA) on a relaxed structure of LaDy2Co2.

Geometry as extended XYZ:
```
5
Lattice="5.676 -1.963 0.000 5.676 1.963 0.000 -1.686 0.000 5.313" Properties=species:S:1:pos:R:3 pbc="T T T"
La 0.000 0.000 0.000
Dy 3.196 0.000 2.011
Dy 6.469 0.000 3.302
Co 1.965 0.000 4.643
Co 7.701 0.000 0.670
```

Output
raw total energy = -5.727 eV/atom
spin magnetization = 0.000 μB per formula unit
ΔE_f = -0.06 eV/atom
ΔE to the lowest computed polymorph = 23 meV/atom
space-group type = C2/m (12)